Entry 1:
Rb12P3I5 | PBE | optimized geometry

Cell lengths 18.023, 18.023, 18.023 Å; angles 109.47, 109.47, 109.47 degrees
Site moments in Bohr magnetons follow the coordinates.
Fractional positions:
P1 0.750 0.375 0.125  0.23
P2 0.875 0.750 0.125  0.23
P3 0.375 0.750 0.625  0.23
P4 0.250 0.125 0.375  0.23
P5 0.875 0.125 0.250  0.23
P6 0.375 0.625 0.250  0.23
P7 0.625 0.375 0.750  0.23
P8 0.125 0.875 0.750  0.23
P9 0.750 0.875 0.625  0.23
P10 0.625 0.250 0.375  0.23
P11 0.125 0.250 0.875  0.23
P12 0.250 0.625 0.875  0.23
I1 0.125 0.375 0.250  0.00
I2 0.000 0.500 0.000  0.00
I3 0.000 0.000 0.000  0.00
I4 0.375 0.250 0.125  0.00
I5 0.500 0.000 0.500  0.00
I6 0.500 0.500 0.000  0.00
I7 0.125 0.750 0.375  0.00
I8 0.750 0.125 0.875  0.00
I9 0.750 0.625 0.375  0.00
I10 0.375 0.125 0.750  0.00
I11 0.625 0.875 0.250  0.00
I12 0.500 0.500 0.500  0.00
I13 0.500 0.000 0.000  0.00
I14 0.000 0.000 0.500  0.00
I15 0.250 0.375 0.625  0.00
I16 0.250 0.875 0.125  0.00
I17 0.000 0.500 0.500  0.00
I18 0.875 0.250 0.625  0.00
I19 0.625 0.750 0.875  0.00
I20 0.875 0.625 0.750  0.00
Rb1 0.736 0.140 0.067  0.00
Rb2 0.332 0.567 0.427  0.00
Rb3 0.933 0.360 0.264  0.00
Rb4 0.567 0.236 0.140  0.00
Rb5 0.595 0.736 0.668  0.00
Rb6 0.933 0.573 0.168  0.00
Rb7 0.332 0.764 0.405  0.00
Rb8 0.073 0.905 0.140  0.00
Rb9 0.573 0.933 0.668  0.00
Rb10 0.736 0.595 0.168  0.00
Rb11 0.764 0.433 0.360  0.00
Rb12 0.832 0.927 0.067  0.00
Rb13 0.140 0.736 0.567  0.00
Rb14 0.360 0.427 0.095  0.00
Rb15 0.095 0.927 0.360  0.00
Rb16 0.405 0.140 0.573  0.00
Rb17 0.095 0.168 0.236  0.00
Rb18 0.433 0.668 0.073  0.00
Rb19 0.832 0.905 0.264  0.00
Rb20 0.140 0.405 0.073  0.00
Rb21 0.360 0.933 0.764  0.00
Rb22 0.573 0.640 0.405  0.00
Rb23 0.927 0.832 0.567  0.00
Rb24 0.764 0.332 0.905  0.00
Rb25 0.427 0.360 0.595  0.00
Rb26 0.073 0.168 0.433  0.00
Rb27 0.236 0.668 0.095  0.00
Rb28 0.168 0.095 0.736  0.00
Rb29 0.640 0.067 0.236  0.00
Rb30 0.860 0.595 0.927  0.00
Rb31 0.567 0.332 0.927  0.00
Rb32 0.595 0.860 0.427  0.00
Rb33 0.905 0.832 0.764  0.00
Rb34 0.905 0.073 0.640  0.00
Rb35 0.860 0.264 0.433  0.00
Rb36 0.168 0.073 0.933  0.00
Rb37 0.640 0.573 0.905  0.00
Rb38 0.427 0.067 0.332  0.00
Rb39 0.264 0.405 0.832  0.00
Rb40 0.236 0.567 0.640  0.00
Rb41 0.927 0.095 0.860  0.00
Rb42 0.668 0.236 0.595  0.00
Rb43 0.433 0.764 0.860  0.00
Rb44 0.067 0.427 0.832  0.00
Rb45 0.405 0.264 0.332  0.00
Rb46 0.067 0.640 0.736  0.00
Rb47 0.668 0.433 0.573  0.00
Rb48 0.264 0.860 0.933  0.00

Computed properties:
energy relative to the elements, uncorrected	-682	meV/atom
total moment	0.104	μB per atom

---

Entry 2:
Rb3PI | PBE | optimized geometry

Cell lengths 6.492, 6.492, 6.492 Å; angles 90.00, 90.00, 90.00 degrees
Site moments in Bohr magnetons follow the coordinates.
Fractional positions:
I1 0.500 0.500 0.500  0.00
P1 0.000 0.000 0.000  0.36
Rb1 0.000 0.500 0.000  0.01
Rb2 0.000 0.000 0.500  0.03
Rb3 0.500 0.000 0.000  0.00

Computed properties:
energy relative to the elements, uncorrected	-523	meV/atom
total moment	0.200	μB per atom
ΔE to the lowest computed polymorph	0.000	eV/atom

---

Entry 3:
Rb3PI6 | PBE | optimized geometry

Cell lengths 8.846, 8.846, 8.847 Å; angles 60.00, 60.00, 90.00 degrees
Fractional positions:
I1 0.276 0.276 0.447
I2 0.724 0.724 0.553
I3 0.276 0.276 0.000
I4 0.724 0.724 0.000
I5 0.724 0.276 0.000
I6 0.276 0.724 0.000
P1 0.500 0.500 0.000
Rb1 0.750 0.250 0.500
Rb2 0.250 0.750 0.500
Rb3 0.000 0.000 0.000

Computed properties:
energy relative to the elements, uncorrected	-817	meV/atom
total moment	0.000	μB per atom
ΔE to the lowest computed polymorph	0.046	eV/atom

---

Number 1: V 56.3 A^3/atom. Number 2: V 54.7 A^3/atom. Number 3: V 49.0 A^3/atom.